DFT (PBE) results for LiSn2Pd2 after structural relaxation.

abc: 4.085 4.085 12.723
angles: 90.00 90.00 90.00
Atoms (fractional coordinates):
Li1 0.000 0.000 0.000
Li2 0.500 0.500 0.500
Sn1 0.000 0.000 0.387
Sn2 0.000 0.000 0.613
Sn3 0.500 0.500 0.113
Sn4 0.500 0.500 0.887
Pd1 0.000 0.500 0.250
Pd2 0.000 0.500 0.750
Pd3 0.500 0.000 0.250
Pd4 0.500 0.000 0.750

Output
Its magnetic moment is 0.000 μB/f.u. The value obtained for the polymorph energy (0 for the lowest one) is 206 meV/atom. The volume comes out at 212.4 Å³ per cell. The calculation puts the electronic total energy at -4.420 eV per atom. The formation enthalpy at 0 K is -8.27 kcal/mol of atoms.